1.
Here is a relaxed TbZn11Cr crystal from Alexandria. Energies are from PBE-GGA.

a b c (Å): 6.810 6.810 6.778
angles (deg): 98.52 98.52 134.38
Positions (direct):
Tb: 0.000 0.000 0.000
Zn: 0.000 0.500 0.000
Zn: 0.012 0.662 0.647
Zn: 0.280 0.499 0.783
Zn: 0.338 0.988 0.353
Zn: 0.499 0.280 0.783
Zn: 0.500 0.000 0.000
Zn: 0.500 0.500 0.500
Zn: 0.501 0.720 0.217
Zn: 0.662 0.012 0.647
Zn: 0.720 0.501 0.217
Zn: 0.988 0.338 0.353
Cr: 0.000 0.000 0.500

crystal system = monoclinic
theoretical density = 7.443 g/cm³
calculated total energy = -2.288 eV per atom

=====

2.
Here is a relaxed Rb2CaSbCl6 crystal from Alexandria. Energies are from PBE-GGA.

a b c (Å): 8.128 8.128 8.128
angles (deg): 124.12 124.12 83.01
Positions (direct):
Rb: 0.250 0.750 0.500
Rb: 0.750 0.250 0.500
Ca: 0.000 0.000 0.000
Sb: 0.500 0.500 0.000
Cl: 0.220 0.220 0.000
Cl: 0.254 0.254 0.507
Cl: 0.254 0.746 0.000
Cl: 0.746 0.254 0.000
Cl: 0.746 0.746 0.493
Cl: 0.780 0.780 0.000

E_form (uncorrected) = -16.10 eV per formula unit
crystal system = tetragonal
theoretical density = 2.565 g/cm³
calculated total energy = -3.524 eV per atom

=====

3.
Here is a relaxed SmPuAu2O8 crystal from Alexandria. Energies are from PBE-GGA.

a b c (Å): 6.167 6.167 6.167
angles (deg): 111.41 111.41 105.65
Positions (direct):
Sm: 0.000 0.000 0.000
Pu: 0.750 0.250 0.500
Au: 0.250 0.750 0.500
Au: 0.500 0.500 0.000
O: 0.041 0.371 0.331
O: 0.041 0.710 0.669
O: 0.057 0.271 0.786
O: 0.290 0.959 0.331
O: 0.485 0.271 0.214
O: 0.629 0.959 0.669
O: 0.729 0.515 0.786
O: 0.729 0.943 0.214

E_form (uncorrected) = -15.15 eV per formula unit
crystal system = tetragonal
theoretical density = 8.455 g/cm³
calculated total energy = -6.702 eV per atom

=====

4.
Here is a relaxed AcPuBiTe crystal from Alexandria. Energies are from PBE-GGA.

a b c (Å): 5.675 5.675 5.675
angles (deg): 60.00 60.00 60.00
Positions (direct):
Ac: 0.000 0.000 0.000
Pu: 0.500 0.500 0.500
Bi: 0.750 0.750 0.750
Te: 0.250 0.250 0.250

E_form (uncorrected) = -3.34 eV per formula unit
crystal system = cubic
distance to the lowest polymorph of the same formula = 0 meV per atom
theoretical density = 10.378 g/cm³
calculated total energy = -7.200 eV per atom

=====

5.
Here is a relaxed Ba3AlAg2O6 crystal from Alexandria. Energies are from PBE-GGA.

a b c (Å): 5.994 5.994 6.731
angles (deg): 90.00 90.00 120.00
Positions (direct):
Ba: 0.000 0.000 0.000
Ba: 0.333 0.667 0.630
Ba: 0.667 0.333 0.370
Al: 0.000 0.000 0.500
Ag: 0.333 0.667 0.155
Ag: 0.667 0.333 0.845
O: 0.153 0.305 0.329
O: 0.153 0.847 0.329
O: 0.305 0.153 0.671
O: 0.695 0.847 0.329
O: 0.847 0.153 0.671
O: 0.847 0.695 0.671

E_form (uncorrected) = -20.50 eV per formula unit
crystal system = trigonal
theoretical density = 5.952 g/cm³
calculated total energy = -5.456 eV per atom

=====

6.
Here is a relaxed BeZnIn2 crystal from Alexandria. Energies are from PBE-GGA.

a b c (Å): 2.983 2.983 8.768
angles (deg): 90.00 90.00 90.00
Positions (direct):
Be: 0.000 0.000 0.000
Zn: 0.500 0.500 0.858
In: 0.000 0.000 0.582
In: 0.500 0.500 0.238

crystal system = tetragonal
theoretical density = 6.470 g/cm³
calculated total energy = -2.338 eV per atom

=====

7.
Here is a relaxed U2Si4Rh3Au crystal from Alexandria. Energies are from PBE-GGA.

a b c (Å): 4.125 4.125 10.023
angles (deg): 90.00 90.00 90.00
Positions (direct):
U: 0.000 0.500 0.240
U: 0.500 0.000 0.760
Si: 0.000 0.000 0.000
Si: 0.000 0.500 0.643
Si: 0.500 0.000 0.357
Si: 0.500 0.500 0.000
Rh: 0.000 0.500 0.877
Rh: 0.500 0.000 0.123
Rh: 0.500 0.500 0.500
Au: 0.000 0.000 0.500

E_form (uncorrected) = -6.14 eV per formula unit
crystal system = tetragonal
theoretical density = 10.655 g/cm³
calculated total energy = -7.574 eV per atom

=====

8.
Here is a relaxed CrAg2Cl crystal from Alexandria. Energies are from PBE-GGA.

a b c (Å): 3.339 4.319 5.402
angles (deg): 90.00 90.00 90.00
Positions (direct):
Cr: 0.000 0.000 0.000
Ag: 0.000 0.500 0.500
Ag: 0.500 0.000 0.500
Cl: 0.500 0.500 0.000

E_form (uncorrected) = 0.94 eV per formula unit
crystal system = orthorhombic
distance to the lowest polymorph of the same formula = 171 meV per atom
theoretical density = 6.461 g/cm³
calculated total energy = -4.059 eV per atom